# TmAl4Cu8

A relaxed structure of TmAl4Cu8 (PBE, Alexandria via LeMat-Bulk).

Unit cell a=8.523 b=8.523 c=5.073 alpha=90.00 beta=90.00 gamma=90.00
Space group I4/mmm (No. 139)
Symmetry-distinct sites (fractional):
Tm: 0.000 0.000 0.000 (multiplicity 2)
Al: 0.250 0.250 0.250 (multiplicity 8)
Cu: 0.000 0.217 0.500 (multiplicity 8)
Cu: 0.000 0.350 0.000 (multiplicity 8)

Results
- calculated density (g/cm3) = 7.08
- size of the total moment (μB/f.u.) = 0.00
- density of states at the Fermi level (states/eV/atom) = 0.3957
- calculated formation energy (eV per formula unit) = -3.12
- total energy (eV for the cell shown) = -110.66